Record 1
First-principles (PBE-GGA) data for Li2CoTc after structural relaxation, as listed in the Alexandria database.

Cell and atoms, written as CIF:
```
data_Li2CoTc
_cell_length_a 4.8818
_cell_length_b 4.8818
_cell_length_c 4.8818
_cell_angle_alpha 148.14
_cell_angle_beta 125.83
_cell_angle_gamma 64.24
_symmetry_space_group_name_H-M 'P 1'
_symmetry_Int_Tables_number 1
loop_
_symmetry_equiv_pos_as_xyz
'x,y,z'
loop_
_atom_site_label
_atom_site_type_symbol
_atom_site_fract_x
_atom_site_fract_y
_atom_site_fract_z
Co1 Co 0.2478 0.7478 0.5000
Tc1 Tc 0.4871 0.4871 0.0000
Li1 Li 0.7617 0.2617 0.5000
Li2 Li 0.0034 0.0034 0.0000
```

Calculated values
The energy above the lowest structure with this stoichiometry comes out at 0.223 eV per atom. The calculation puts the calculated formation energy at 393 meV per atom. The calculated density comes out at 5.8 g/cm3. The space-group type is Imm2.

Record 2
First-principles (PBE-GGA) data for Li2CoTc after structural relaxation, as listed in the Alexandria database.

Cell and atoms, written as CIF:
```
data_Li2CoTc
_cell_length_a 4.0551
_cell_length_b 4.0551
_cell_length_c 4.0551
_cell_angle_alpha 60.00
_cell_angle_beta 60.00
_cell_angle_gamma 60.00
_symmetry_space_group_name_H-M 'P 1'
_symmetry_Int_Tables_number 1
loop_
_symmetry_equiv_pos_as_xyz
'x,y,z'
loop_
_atom_site_label
_atom_site_type_symbol
_atom_site_fract_x
_atom_site_fract_y
_atom_site_fract_z
Li1 Li 0.0000 0.0000 0.0000
Li2 Li 0.2500 0.2500 0.2500
Tc1 Tc 0.7500 0.7500 0.7500
Co1 Co 0.5000 0.5000 0.5000
```

Calculated values
The energy above the lowest structure with this stoichiometry comes out at 0.074 eV per atom. The calculation puts the calculated formation energy at 244 meV per atom. The calculated density comes out at 6.0 g/cm3. The space-group type is F-43m.

Record 3
First-principles (PBE-GGA) data for LiCo2Tc after structural relaxation, as listed in the Alexandria database.

Cell and atoms, written as CIF:
```
data_LiCo2Tc
_cell_length_a 4.6375
_cell_length_b 4.6375
_cell_length_c 4.4061
_cell_angle_alpha 75.23
_cell_angle_beta 75.23
_cell_angle_gamma 31.92
_symmetry_space_group_name_H-M 'P 1'
_symmetry_Int_Tables_number 1
loop_
_symmetry_equiv_pos_as_xyz
'x,y,z'
loop_
_atom_site_label
_atom_site_type_symbol
_atom_site_fract_x
_atom_site_fract_y
_atom_site_fract_z
Co1 Co 0.7266 0.7266 0.7100
Co2 Co 0.0178 0.0178 0.0394
Tc1 Tc 0.2706 0.2706 0.1953
Li1 Li 0.4850 0.4850 0.5553
```

Calculated values
The energy above the lowest structure with this stoichiometry comes out at 0.000 eV per atom. The calculation puts the calculated formation energy at 178 meV per atom. The calculated density comes out at 7.7 g/cm3. The space-group type is Cm.

Record 4
First-principles (PBE-GGA) data for Li2CoTc after structural relaxation, as listed in the Alexandria database.

Cell and atoms, written as CIF:
```
data_Li2CoTc
_cell_length_a 2.5579
_cell_length_b 3.7808
_cell_length_c 5.5138
_cell_angle_alpha 90.00
_cell_angle_beta 90.00
_cell_angle_gamma 90.00
_symmetry_space_group_name_H-M 'P 1'
_symmetry_Int_Tables_number 1
loop_
_symmetry_equiv_pos_as_xyz
'x,y,z'
loop_
_atom_site_label
_atom_site_type_symbol
_atom_site_fract_x
_atom_site_fract_y
_atom_site_fract_z
Li1 Li 0.5000 0.5000 0.2395
Li2 Li 0.0000 0.0000 0.0072
Tc1 Tc 0.0000 0.0000 0.5435
Co1 Co 0.5000 0.5000 0.7098
```

Calculated values
The energy above the lowest structure with this stoichiometry comes out at 0.010 eV per atom. The calculation puts the calculated formation energy at 180 meV per atom. The calculated density comes out at 5.3 g/cm3. The space-group type is Pmm2.

Record 5
First-principles (PBE-GGA) data for LiCoTcW after structural relaxation, as listed in the Alexandria database.

Cell and atoms, written as CIF:
```
data_LiCoTcW
_cell_length_a 4.2130
_cell_length_b 4.2130
_cell_length_c 4.2130
_cell_angle_alpha 60.00
_cell_angle_beta 60.00
_cell_angle_gamma 60.00
_symmetry_space_group_name_H-M 'P 1'
_symmetry_Int_Tables_number 1
loop_
_symmetry_equiv_pos_as_xyz
'x,y,z'
loop_
_atom_site_label
_atom_site_type_symbol
_atom_site_fract_x
_atom_site_fract_y
_atom_site_fract_z
Co1 Co 0.0000 0.0000 0.0000
W1 W 0.2500 0.2500 0.2500
Li1 Li 0.7500 0.7500 0.7500
Tc1 Tc 0.5000 0.5000 0.5000
```

Calculated values
The calculation puts the calculated formation energy at 150 meV per atom. The calculated density comes out at 10.9 g/cm3. The space-group type is F-43m.

Record 6
First-principles (PBE-GGA) data for LiZnCo2Tc after structural relaxation, as listed in the Alexandria database.

Cell and atoms, written as CIF:
```
data_LiZnCo2Tc
_cell_length_a 3.9620
_cell_length_b 4.0015
_cell_length_c 3.9620
_cell_angle_alpha 90.00
_cell_angle_beta 90.00
_cell_angle_gamma 90.00
_symmetry_space_group_name_H-M 'P 1'
_symmetry_Int_Tables_number 1
loop_
_symmetry_equiv_pos_as_xyz
'x,y,z'
loop_
_atom_site_label
_atom_site_type_symbol
_atom_site_fract_x
_atom_site_fract_y
_atom_site_fract_z
Zn1 Zn 0.0000 0.5000 0.0000
Tc1 Tc 0.5000 0.5000 0.5000
Co1 Co 0.0000 0.0000 0.5000
Co2 Co 0.5000 0.0000 0.0000
Li1 Li 0.0000 0.0000 0.0000
```

Calculated values
The calculation puts the calculated formation energy at 863 meV per atom. The calculated density comes out at 7.6 g/cm3. The space-group type is P4/mmm.

Record 7
First-principles (PBE-GGA) data for Li2ZrCoTc after structural relaxation, as listed in the Alexandria database.

Cell and atoms, written as CIF:
```
data_Li2ZrCoTc
_cell_length_a 4.2051
_cell_length_b 4.7467
_cell_length_c 4.2051
_cell_angle_alpha 90.00
_cell_angle_beta 90.00
_cell_angle_gamma 90.00
_symmetry_space_group_name_H-M 'P 1'
_symmetry_Int_Tables_number 1
loop_
_symmetry_equiv_pos_as_xyz
'x,y,z'
loop_
_atom_site_label
_atom_site_type_symbol
_atom_site_fract_x
_atom_site_fract_y
_atom_site_fract_z
Co1 Co 0.0000 0.0000 0.0000
Zr1 Zr 0.0000 0.5000 0.0000
Li1 Li 0.5000 0.0000 0.0000
Li2 Li 0.0000 0.0000 0.5000
Tc1 Tc 0.5000 0.5000 0.5000
```

Calculated values
The calculation puts the calculated formation energy at 826 meV per atom. The calculated density comes out at 5.2 g/cm3. The space-group type is P4/mmm.

Record 8
First-principles (PBE-GGA) data for Li2CoTe after structural relaxation, as listed in the Alexandria database.

Cell and atoms, written as CIF:
```
data_Li2CoTe
_cell_length_a 4.0350
_cell_length_b 3.1430
_cell_length_c 6.0735
_cell_angle_alpha 58.78
_cell_angle_beta 90.00
_cell_angle_gamma 90.00
_symmetry_space_group_name_H-M 'P 1'
_symmetry_Int_Tables_number 1
loop_
_symmetry_equiv_pos_as_xyz
'x,y,z'
loop_
_atom_site_label
_atom_site_type_symbol
_atom_site_fract_x
_atom_site_fract_y
_atom_site_fract_z
Te1 Te 0.5000 0.2500 0.2500
Li1 Li 0.0000 0.0149 0.9842
Li2 Li 0.0000 0.4851 0.5158
Co1 Co 0.5000 0.7500 0.7500
```

Calculated values
The energy relative to the elements, uncorrected is -0.2 eV per formula unit. The calculated density comes out at 5.1 g/cm3. The space-group type is Pmmm.

Record 9
First-principles (PBE-GGA) data for Li2CoTe after structural relaxation, as listed in the Alexandria database.

Cell and atoms, written as CIF:
```
data_Li2CoTe
_cell_length_a 3.4023
_cell_length_b 3.4087
_cell_length_c 5.7705
_cell_angle_alpha 90.00
_cell_angle_beta 90.00
_cell_angle_gamma 90.00
_symmetry_space_group_name_H-M 'P 1'
_symmetry_Int_Tables_number 1
loop_
_symmetry_equiv_pos_as_xyz
'x,y,z'
loop_
_atom_site_label
_atom_site_type_symbol
_atom_site_fract_x
_atom_site_fract_y
_atom_site_fract_z
Co1 Co 0.5000 0.5000 0.7308
Li1 Li 0.5000 0.5000 0.2443
Li2 Li 0.0000 0.0000 0.9925
Te1 Te 0.0000 0.0000 0.5324
```

Calculated values
The energy relative to the elements, uncorrected is -0.2 eV per formula unit. The calculated density comes out at 5.0 g/cm3. The space-group type is P4mm.

Record 10
First-principles (PBE-GGA) data for LiCoTe after structural relaxation, as listed in the Alexandria database.

Cell and atoms, written as CIF:
```
data_LiCoTe
_cell_length_a 4.0817
_cell_length_b 4.0817
_cell_length_c 6.2361
_cell_angle_alpha 90.00
_cell_angle_beta 90.00
_cell_angle_gamma 90.00
_symmetry_space_group_name_H-M 'P 1'
_symmetry_Int_Tables_number 1
loop_
_symmetry_equiv_pos_as_xyz
'x,y,z'
loop_
_atom_site_label
_atom_site_type_symbol
_atom_site_fract_x
_atom_site_fract_y
_atom_site_fract_z
Co1 Co 0.5000 0.5000 0.5000
Co2 Co 0.0000 0.0000 0.5000
Li1 Li 0.0000 0.5000 0.7924
Li2 Li 0.5000 0.0000 0.2076
Te1 Te 0.0000 0.5000 0.2564
Te2 Te 0.5000 0.0000 0.7436
```

Calculated values
The energy above the lowest structure with this stoichiometry comes out at 0.000 eV per atom. The energy relative to the elements, uncorrected is -1.2 eV per formula unit. The calculated density comes out at 6.2 g/cm3. The space-group type is P4/nmm.

Record 11
First-principles (PBE-GGA) data for Li3CoTe after structural relaxation, as listed in the Alexandria database.

Cell and atoms, written as CIF:
```
data_Li3CoTe
_cell_length_a 4.6690
_cell_length_b 4.6690
_cell_length_c 4.6690
_cell_angle_alpha 90.00
_cell_angle_beta 90.00
_cell_angle_gamma 90.00
_symmetry_space_group_name_H-M 'P 1'
_symmetry_Int_Tables_number 1
loop_
_symmetry_equiv_pos_as_xyz
'x,y,z'
loop_
_atom_site_label
_atom_site_type_symbol
_atom_site_fract_x
_atom_site_fract_y
_atom_site_fract_z
Li1 Li 0.0000 0.5000 0.0000
Li2 Li 0.5000 0.0000 0.0000
Li3 Li 0.0000 0.0000 0.5000
Co1 Co 0.0000 0.0000 0.0000
Te1 Te 0.5000 0.5000 0.5000
```

Calculated values
The energy above the lowest structure with this stoichiometry comes out at 0.000 eV per atom. The energy relative to the elements, uncorrected is 1.1 eV per formula unit. The calculated density comes out at 3.4 g/cm3. The space-group type is Pm-3m.

Record 12
First-principles (PBE-GGA) data for Li2CoTe after structural relaxation, as listed in the Alexandria database.

Cell and atoms, written as CIF:
```
data_Li2CoTe
_cell_length_a 3.8016
_cell_length_b 3.8016
_cell_length_c 9.7162
_cell_angle_alpha 78.72
_cell_angle_beta 78.72
_cell_angle_gamma 90.00
_symmetry_space_group_name_H-M 'P 1'
_symmetry_Int_Tables_number 1
loop_
_symmetry_equiv_pos_as_xyz
'x,y,z'
loop_
_atom_site_label
_atom_site_type_symbol
_atom_site_fract_x
_atom_site_fract_y
_atom_site_fract_z
Te1 Te 0.7500 0.2500 0.5000
Te2 Te 0.0000 0.0000 0.0000
Co1 Co 0.5000 0.5000 0.0000
Co2 Co 0.2500 0.7500 0.5000
Li1 Li 0.8750 0.8628 0.7500
Li2 Li 0.6128 0.1250 0.2500
Li3 Li 0.3750 0.3872 0.7500
Li4 Li 0.1372 0.6250 0.2500
```

Calculated values
The energy relative to the elements, uncorrected is 0.0 eV per formula unit. The calculated density comes out at 4.9 g/cm3. The space-group type is I-42d.

Record 13
First-principles (PBE-GGA) data for LiCoTe2 after structural relaxation, as listed in the Alexandria database.

Cell and atoms, written as CIF:
```
data_LiCoTe2
_cell_length_a 3.8358
_cell_length_b 3.8358
_cell_length_c 7.1073
_cell_angle_alpha 74.40
_cell_angle_beta 74.40
_cell_angle_gamma 60.00
_symmetry_space_group_name_H-M 'P 1'
_symmetry_Int_Tables_number 1
loop_
_symmetry_equiv_pos_as_xyz
'x,y,z'
loop_
_atom_site_label
_atom_site_type_symbol
_atom_site_fract_x
_atom_site_fract_y
_atom_site_fract_z
Te1 Te 0.0173 0.0173 0.9486
Te2 Te 0.4827 0.4827 0.5514
Co1 Co 0.7500 0.7500 0.7500
Li1 Li 0.2500 0.2500 0.2500
```

Calculated values
The energy relative to the elements, uncorrected is -1.4 eV per formula unit. The calculated density comes out at 6.2 g/cm3. The space-group type is R-3m.

Record 14
First-principles (PBE-GGA) data for LiCoTe2 after structural relaxation, as listed in the Alexandria database.

Cell and atoms, written as CIF:
```
data_LiCoTe2
_cell_length_a 3.3838
_cell_length_b 3.3838
_cell_length_c 7.7009
_cell_angle_alpha 90.00
_cell_angle_beta 90.00
_cell_angle_gamma 90.00
_symmetry_space_group_name_H-M 'P 1'
_symmetry_Int_Tables_number 1
loop_
_symmetry_equiv_pos_as_xyz
'x,y,z'
loop_
_atom_site_label
_atom_site_type_symbol
_atom_site_fract_x
_atom_site_fract_y
_atom_site_fract_z
Co1 Co 0.0000 0.0000 0.5271
Li1 Li 0.5000 0.5000 0.7153
Te1 Te 0.0000 0.0000 0.8831
Te2 Te 0.5000 0.5000 0.3745
```

Calculated values
The energy relative to the elements, uncorrected is -0.7 eV per formula unit. The calculated density comes out at 6.0 g/cm3. The space-group type is P4mm.

Record 15
First-principles (PBE-GGA) data for LiCo3Te after structural relaxation, as listed in the Alexandria database.

Cell and atoms, written as CIF:
```
data_LiCo3Te
_cell_length_a 4.0580
_cell_length_b 4.0580
_cell_length_c 4.0580
_cell_angle_alpha 90.00
_cell_angle_beta 90.00
_cell_angle_gamma 90.00
_symmetry_space_group_name_H-M 'P 1'
_symmetry_Int_Tables_number 1
loop_
_symmetry_equiv_pos_as_xyz
'x,y,z'
loop_
_atom_site_label
_atom_site_type_symbol
_atom_site_fract_x
_atom_site_fract_y
_atom_site_fract_z
Co1 Co 0.0000 0.5000 0.0000
Co2 Co 0.5000 0.0000 0.0000
Co3 Co 0.0000 0.0000 0.5000
Li1 Li 0.0000 0.0000 0.0000
Te1 Te 0.5000 0.5000 0.5000
```

Calculated values
The energy above the lowest structure with this stoichiometry comes out at 0.000 eV per atom. The energy relative to the elements, uncorrected is 4.1 eV per formula unit. The calculated density comes out at 7.7 g/cm3. The space-group type is Pm-3m.